1.
A relaxed Cs2KNa12Hg3 crystal. Source: Alexandria, functional GGA-PBE.

POSCAR file:
```
Cs2KNa12Hg3
1.0
11.1529 0.3645 0.2585
5.8248 9.5179 0.2585
5.8248 3.3905 8.8973
Cs Na K Hg
2 12 1 3
Direct
0.5918 0.5918 0.5918
0.4082 0.4082 0.4082
0.2477 0.2477 0.8794
0.7523 0.7523 0.1206
0.1206 0.7523 0.7523
0.2477 0.8794 0.2477
0.8463 0.8463 0.4959
0.1537 0.5041 0.1537
0.8463 0.4959 0.8463
0.4959 0.8463 0.8463
0.1537 0.1537 0.5041
0.5041 0.1537 0.1537
0.8794 0.2477 0.2477
0.7523 0.1206 0.7523
0.0000 0.0000 0.0000
0.0000 0.5000 0.0000
0.5000 0.0000 0.0000
0.0000 0.0000 0.5000
```

Calculated values
E_tot   -0.0785 Ry per atom
Total moment   0.000 μB/atom
Mass density   2.2 g/cm3
ΔE_f   0.4 kcal/mol of atoms

2.
A relaxed Pr3AlGe6Pt2 crystal. Source: Alexandria, functional GGA-PBE.

POSCAR file:
```
Pr3AlGe6Pt2
1.0
6.0239 0.0000 0.0000
-3.0119 5.2168 0.0000
0.0000 0.0000 8.3313
Ge Pt Al Pr
6 2 1 3
Direct
0.6208 0.8104 0.2810
0.1896 0.8104 0.2810
0.8104 0.6208 0.7190
0.8104 0.1896 0.7190
0.3792 0.1896 0.7190
0.1896 0.3792 0.2810
0.6667 0.3333 0.9763
0.3333 0.6667 0.0237
0.0000 0.0000 0.5000
0.0000 0.0000 0.0000
0.3333 0.6667 0.6354
0.6667 0.3333 0.3646
```

Calculated values
E_tot   -0.3838 Ry per atom
Total moment   0.000 μB/atom
Mass density   8.1 g/cm3
ΔE_f   -9.2 kcal/mol of atoms

3.
A relaxed LiTbRh crystal. Source: Alexandria, functional GGA-PBE.

POSCAR file:
```
LiTbRh
1.0
3.4821 0.0000 0.0000
0.0000 4.3306 0.0000
0.0000 -2.1653 3.7504
Tb Rh Li
1 1 1
Direct
0.6667 0.3333 0.6667
0.1677 0.0000 0.0000
0.1656 0.6667 0.3333
```

Calculated values
E_tot   -0.3712 Ry per atom
Total moment   0.000 μB/atom
Excess energy over the best structure of this formula in the dataset   10.44 kJ per mole of atoms
Mass density   7.9 g/cm3
ΔE_f   -9.6 kcal/mol of atoms

4.
A relaxed Fe2Re crystal. Source: Alexandria, functional GGA-PBE.

POSCAR file:
```
Fe2Re
1.0
-2.8498 2.8498 2.4961
2.8498 -2.8498 2.4961
2.8498 2.8498 -2.4961
Re Fe
2 4
Direct
0.2500 0.2500 0.0000
0.7500 0.7500 0.0000
0.6375 0.1375 0.7750
0.1375 0.3625 0.5000
0.8625 0.6375 0.5000
0.3625 0.8625 0.2250
```

Calculated values
E_tot   -0.6806 Ry per atom
Total moment   0.869 μB/atom
Mass density   12.2 g/cm3
ΔE_f   12.2 kcal/mol of atoms

5.
A relaxed Ce2AlPt crystal. Source: Alexandria, functional GGA-PBE.

POSCAR file:
```
Ce2AlPt
1.0
-3.7586 0.2332 0.6113
-0.6487 -1.7934 -3.3043
0.1418 -5.5823 3.0019
Ce Pt Al
2 1 1
Direct
0.0000 0.0000 0.7667
0.0000 0.0000 0.2333
0.5000 0.5000 0.0000
0.5000 0.5000 0.5000
```

Calculated values
E_tot   -0.4428 Ry per atom
Total moment   0.411 μB/atom
Excess energy over the best structure of this formula in the dataset   5.39 kJ per mole of atoms
Mass density   9.0 g/cm3
ΔE_f   -14.1 kcal/mol of atoms

6.
A relaxed BeCdNi2 crystal. Source: Alexandria, functional GGA-PBE.

POSCAR file:
```
BeCdNi2
1.0
2.8374 0.0000 0.0000
0.0000 2.8435 -0.2973
0.0000 0.6441 6.1259
Be Cd Ni
1 1 2
Direct
0.0000 0.8748 0.4274
0.5000 0.3751 0.7448
0.0000 0.8750 0.0443
0.5000 0.3751 0.2834
```

Calculated values
E_tot   -0.2971 Ry per atom
Total moment   0.000 μB/atom
Mass density   7.9 g/cm3
ΔE_f   0.2 kcal/mol of atoms

7.
A relaxed SmPO6 crystal. Source: Alexandria, functional GGA-PBE.

POSCAR file:
```
SmPO6
1.0
5.6209 0.0000 0.0000
2.8105 4.8679 0.0000
2.8105 1.6226 4.5895
O P Sm
6 1 1
Direct
0.7925 0.2075 0.7925
0.2075 0.7925 0.2075
0.2075 0.7925 0.7925
0.2075 0.2075 0.7925
0.7925 0.2075 0.2075
0.7925 0.7925 0.2075
0.0000 0.0000 0.0000
0.5000 0.5000 0.5000
```

Calculated values
E_tot   -0.4778 Ry per atom
Total moment   0.232 μB/atom
Raw formation energy   -1515 meV per atom
Mass density   3.7 g/cm3

8.
A relaxed Np2TeIr crystal. Source: Alexandria, functional GGA-PBE.

POSCAR file:
```
Np2TeIr
1.0
4.0864 0.0000 0.0000
2.0432 3.5390 0.0000
2.0432 1.1797 7.2105
Np Te Ir
2 1 1
Direct
0.7357 0.7357 0.7929
0.2643 0.2643 0.2071
0.5000 0.5000 0.5000
0.0000 0.0000 0.0000
```

Calculated values
E_tot   -0.7251 Ry per atom
Total moment   1.948 μB/atom
Raw formation energy   -394 meV per atom
Mass density   12.6 g/cm3

9.
A relaxed La3PmPb4 crystal. Source: Alexandria, functional GGA-PBE.

POSCAR file:
```
La3PmPb4
1.0
5.8091 0.0000 -1.5681
-0.4085 5.8100 -1.5134
-0.9441 -1.1172 8.0466
Pb Pm La
4 1 3
Direct
0.3781 0.3782 0.7563
0.8781 0.8777 0.7563
0.1219 0.1223 0.2437
0.6219 0.6218 0.2437
0.5000 0.0000 0.0000
0.2529 0.7532 0.5058
0.0000 0.5000 0.0000
0.7471 0.2468 0.4942
```

Calculated values
E_tot   -0.3556 Ry per atom
Total moment   0.173 μB/atom
Mass density   9.1 g/cm3
ΔE_f   -12.5 kcal/mol of atoms

- Which formula does entry 4 have?
  Fe2Re

- Number 5 is which compound?
  Ce2AlPt